(1)
# SbOsCl2 (GGA-PBE, optimized geometry)
data_SbOsCl2
_chemical_formula_sum 'Sb4 Os4 Cl8'
_space_group_name_H-M_alt 'F m -3 m'
_space_group_IT_number 225
_space_group_name_Hall '-F 4 2 3'
_cell_length_a 6.8170
_cell_length_b 6.8170
_cell_length_c 6.8170
_cell_angle_alpha 90.00
_cell_angle_beta 90.00
_cell_angle_gamma 90.00
loop_
_atom_site_label
_atom_site_type_symbol
_atom_site_fract_x
_atom_site_fract_y
_atom_site_fract_z
_atom_site_occupancy
Sb1 Sb 0.0000 0.0000 0.0000 1
Os1 Os 0.0000 0.0000 0.5000 1
Cl1 Cl 0.2500 0.2500 0.2500 1
# energy above the lowest structure with this stoichiometry	1151	meV/atom
# energy relative to the elements, uncorrected	1.174	eV/atom
# total DFT energy (no corrections)	-3.587	eV/atom

---

(2)
# ZnNiGe3 (GGA-PBE, optimized geometry)
data_ZnNiGe3
_chemical_formula_sum 'Zn1 Ni1 Ge3'
_space_group_name_H-M_alt 'P m -3 m'
_space_group_IT_number 221
_space_group_name_Hall '-P 4 2 3'
_cell_length_a 4.6166
_cell_length_b 4.6166
_cell_length_c 4.6166
_cell_angle_alpha 90.00
_cell_angle_beta 90.00
_cell_angle_gamma 90.00
loop_
_atom_site_label
_atom_site_type_symbol
_atom_site_fract_x
_atom_site_fract_y
_atom_site_fract_z
_atom_site_occupancy
Zn1 Zn 0.0000 0.0000 0.0000 1
Ni1 Ni 0.5000 0.5000 0.5000 1
Ge1 Ge 0.0000 0.5000 0.5000 1
# energy above the lowest structure with this stoichiometry	0	meV/atom
# total DFT energy (no corrections)	-3.905	eV/atom
# E_form	0.28	eV/atom

---

(3)
# Sm3YMg2 (GGA-PBE, optimized geometry)
data_Sm3YMg2
_chemical_formula_sum 'Sm3 Y1 Mg2'
_space_group_name_H-M_alt 'P 4/m m m'
_space_group_IT_number 123
_space_group_name_Hall '-P 4 2'
_cell_length_a 3.7750
_cell_length_b 3.7750
_cell_length_c 12.6827
_cell_angle_alpha 90.00
_cell_angle_beta 90.00
_cell_angle_gamma 90.00
loop_
_atom_site_label
_atom_site_type_symbol
_atom_site_fract_x
_atom_site_fract_y
_atom_site_fract_z
_atom_site_occupancy
Sm1 Sm 0.0000 0.0000 0.0000 1
Sm2 Sm 0.0000 0.0000 0.3083 1
Y1 Y 0.5000 0.5000 0.5000 1
Mg1 Mg 0.5000 0.5000 0.1533 1
# total DFT energy (no corrections)	-4.021	eV/atom
# E_form	-0.05	eV/atom